--- P ---
# ZrGeS3 PBE relaxed
# - Size of the total moment: 0.93 μB per formula unit
data_ZrGeS3
_space_group_name_H-M_alt 'P m -3 m'
_space_group_IT_number 221
_space_group_name_Hall '-P 4 2 3'
_cell_length_a 4.629
_cell_length_b 4.629
_cell_length_c 4.629
_cell_angle_alpha 90.00
_cell_angle_beta 90.00
_cell_angle_gamma 90.00
loop_
_atom_site_label
_atom_site_fract_x
_atom_site_fract_y
_atom_site_fract_z
_atom_site_occupancy
Zr1 0.000 0.000 0.000 1
Ge1 0.500 0.500 0.500 1
S1 0.000 0.500 0.500 1



--- Q ---
# ZrGeS3 PBE relaxed
# - Size of the total moment: 0.00 μB per formula unit
data_ZrGeS3
_space_group_name_H-M_alt 'P m -3 m'
_space_group_IT_number 221
_space_group_name_Hall '-P 4 2 3'
_cell_length_a 4.975
_cell_length_b 4.975
_cell_length_c 4.975
_cell_angle_alpha 90.00
_cell_angle_beta 90.00
_cell_angle_gamma 90.00
loop_
_atom_site_label
_atom_site_fract_x
_atom_site_fract_y
_atom_site_fract_z
_atom_site_occupancy
Zr1 0.000 0.000 0.000 1
Ge1 0.500 0.500 0.500 1
S1 0.000 0.000 0.500 1



Stability summary - winner: Q; margin: 0.399 eV/atom.